K3LiAg2H6 | PBE | relaxed

a b c (Å): 5.977 5.977 6.919
angles (deg): 90.00 90.00 120.00
Sites, in units of the cell vectors:
K: 0.000 0.000 0.000
K: 0.333 0.667 0.716
K: 0.667 0.333 0.284
Li: 0.000 0.000 0.500
Ag: 0.333 0.667 0.271
Ag: 0.667 0.333 0.729
H: 0.161 0.322 0.292
H: 0.161 0.839 0.292
H: 0.322 0.161 0.708
H: 0.678 0.839 0.292
H: 0.839 0.161 0.708
H: 0.839 0.678 0.708

Values from the calculation:
crystal system = trigonal
electronic total energy = -2.702 eV per atom

=====

ZnCuIr2 | PBE | relaxed

a b c (Å): 2.749 2.749 7.342
angles (deg): 90.00 90.00 90.00
Sites, in units of the cell vectors:
Zn: 0.000 0.000 0.000
Cu: 0.500 0.500 0.239
Ir: 0.000 0.000 0.491
Ir: 0.500 0.500 0.741

Values from the calculation:
crystal system = tetragonal
DFT formation energy = -28 meV per atom
electronic total energy = -5.801 eV per atom

=====

Li2LaPN | PBE | relaxed

a b c (Å): 6.315 6.315 6.315
angles (deg): 122.68 122.68 85.42
Sites, in units of the cell vectors:
Li: 0.168 0.668 0.835
Li: 0.332 0.168 0.500
Li: 0.668 0.832 0.500
Li: 0.832 0.332 0.165
La: 0.250 0.250 0.000
La: 0.750 0.750 0.000
P: 0.250 0.750 0.500
P: 0.750 0.250 0.500
N: 0.000 0.000 0.000
N: 0.500 0.500 0.000

Values from the calculation:
crystal system = tetragonal
electronic total energy = -5.255 eV per atom
uncorrected formation energy = -757 meV per atom

=====

Ce2Sb4Pt3Rh | PBE | relaxed

a b c (Å): 4.673 4.673 10.433
angles (deg): 90.00 90.00 90.00
Sites, in units of the cell vectors:
Ce: 0.000 0.500 0.235
Ce: 0.500 0.000 0.765
Sb: 0.000 0.000 0.500
Sb: 0.000 0.500 0.875
Sb: 0.500 0.000 0.125
Sb: 0.500 0.500 0.500
Pt: 0.000 0.000 0.000
Pt: 0.000 0.500 0.626
Pt: 0.500 0.000 0.374
Rh: 0.500 0.500 0.000

Values from the calculation:
crystal system = tetragonal
electronic total energy = -6.153 eV per atom
uncorrected formation energy = -770 meV per atom

=====

What did the first record say?
K3LiAg2H6 | PBE | relaxed

a b c (Å): 5.977 5.977 6.919
angles (deg): 90.00 90.00 120.00
Sites, in units of the cell vectors:
K: 0.000 0.000 0.000
K: 0.333 0.667 0.716
K: 0.667 0.333 0.284
Li: 0.000 0.000 0.500
Ag: 0.333 0.667 0.271
Ag: 0.667 0.333 0.729
H: 0.161 0.322 0.292
H: 0.161 0.839 0.292
H: 0.322 0.161 0.708
H: 0.678 0.839 0.292
H: 0.839 0.161 0.708
H: 0.839 0.678 0.708

Values from the calculation:
crystal system = trigonal
electronic total energy = -2.702 eV per atom

=====

> Which value of electronic total energy does entry 2 give?

-5.801 eV per atom